[1]
CaGeI2 | meta-GGA SCAN | single point on PBEsol structure

```
data_CaGeI2
_chemical_formula_sum 'Ca4 Ge4 I8'
_symmetry_space_group_name_H-M 'F m -3 m'
_symmetry_Int_Tables_number 225
_symmetry_space_group_name_Hall '-F 4 2 3'
_cell_length_a 7.694
_cell_length_b 7.694
_cell_length_c 7.694
_cell_angle_alpha 90.00
_cell_angle_beta 90.00
_cell_angle_gamma 90.00
loop_
_atom_site_label
_atom_site_fract_x
_atom_site_fract_y
_atom_site_fract_z
Ca1 0.000 0.000 0.000
Ge1 0.000 0.000 0.500
I1 0.250 0.250 0.250
```

ΔE_f (raw)	-371	meV per atom



[2]
CaGeI2N | meta-GGA SCAN | single point on PBEsol structure

```
data_CaGeI2N
_chemical_formula_sum 'Ca1 Ge1 I2 N1'
_symmetry_space_group_name_H-M 'P 4/m m m'
_symmetry_Int_Tables_number 123
_symmetry_space_group_name_Hall '-P 4 2'
_cell_length_a 5.932
_cell_length_b 5.932
_cell_length_c 4.387
_cell_angle_alpha 90.00
_cell_angle_beta 90.00
_cell_angle_gamma 90.00
loop_
_atom_site_label
_atom_site_fract_x
_atom_site_fract_y
_atom_site_fract_z
Ca1 0.000 0.000 0.000
Ge1 0.500 0.500 0.500
I1 0.000 0.500 0.000
N1 0.000 0.000 0.500
```

ΔE_f (raw)	350	meV per atom



[3]
CaGeIN2 | meta-GGA SCAN | single point on PBEsol structure

```
data_CaGeIN2
_chemical_formula_sum 'Ca1 Ge1 I1 N2'
_symmetry_space_group_name_H-M 'P 4/m m m'
_symmetry_Int_Tables_number 123
_symmetry_space_group_name_Hall '-P 4 2'
_cell_length_a 4.022
_cell_length_b 4.022
_cell_length_c 5.638
_cell_angle_alpha 90.00
_cell_angle_beta 90.00
_cell_angle_gamma 90.00
loop_
_atom_site_label
_atom_site_fract_x
_atom_site_fract_y
_atom_site_fract_z
Ca1 0.000 0.000 0.000
Ge1 0.500 0.500 0.500
I1 0.500 0.500 0.000
N1 0.000 0.500 0.500
```

ΔE_f (raw)	565	meV per atom



[4]
CaGeI2O | meta-GGA SCAN | single point on PBEsol structure

```
data_CaGeI2O
_chemical_formula_sum 'Ca1 Ge1 I2 O1'
_symmetry_space_group_name_H-M 'P 4/m m m'
_symmetry_Int_Tables_number 123
_symmetry_space_group_name_Hall '-P 4 2'
_cell_length_a 5.881
_cell_length_b 5.881
_cell_length_c 3.857
_cell_angle_alpha 90.00
_cell_angle_beta 90.00
_cell_angle_gamma 90.00
loop_
_atom_site_label
_atom_site_fract_x
_atom_site_fract_y
_atom_site_fract_z
Ca1 0.000 0.000 0.000
Ge1 0.500 0.500 0.500
I1 0.000 0.500 0.500
O1 0.500 0.500 0.000
```

ΔE_f (raw)	-796	meV per atom
E above lowest polymorph	0	meV per atom



[5]
CaGeI2O | meta-GGA SCAN | single point on PBEsol structure

```
data_CaGeI2O
_chemical_formula_sum 'Ca1 Ge1 I2 O1'
_symmetry_space_group_name_H-M 'P 4/m m m'
_symmetry_Int_Tables_number 123
_symmetry_space_group_name_Hall '-P 4 2'
_cell_length_a 5.938
_cell_length_b 5.938
_cell_length_c 4.071
_cell_angle_alpha 90.00
_cell_angle_beta 90.00
_cell_angle_gamma 90.00
loop_
_atom_site_label
_atom_site_fract_x
_atom_site_fract_y
_atom_site_fract_z
Ca1 0.000 0.000 0.000
Ge1 0.500 0.500 0.500
I1 0.000 0.500 0.000
O1 0.000 0.000 0.500
```

ΔE_f (raw)	-537	meV per atom
E above lowest polymorph	260	meV per atom



[6]
CaGeRhI2 | meta-GGA SCAN | single point on PBEsol structure

```
data_CaGeRhI2
_chemical_formula_sum 'Ca1 Ge1 Rh1 I2'
_symmetry_space_group_name_H-M 'P 4/m m m'
_symmetry_Int_Tables_number 123
_symmetry_space_group_name_Hall '-P 4 2'
_cell_length_a 5.688
_cell_length_b 5.688
_cell_length_c 4.582
_cell_angle_alpha 90.00
_cell_angle_beta 90.00
_cell_angle_gamma 90.00
loop_
_atom_site_label
_atom_site_fract_x
_atom_site_fract_y
_atom_site_fract_z
Ca1 0.000 0.000 0.000
Ge1 0.500 0.500 0.500
Rh1 0.500 0.500 0.000
I1 0.000 0.500 0.500
```

ΔE_f (raw)	-18	meV per atom



[7]
CaGeSb2I | meta-GGA SCAN | single point on PBEsol structure

```
data_CaGeSb2I
_chemical_formula_sum 'Ca1 Ge1 Sb2 I1'
_symmetry_space_group_name_H-M 'P 4/m m m'
_symmetry_Int_Tables_number 123
_symmetry_space_group_name_Hall '-P 4 2'
_cell_length_a 5.305
_cell_length_b 5.305
_cell_length_c 5.704
_cell_angle_alpha 90.00
_cell_angle_beta 90.00
_cell_angle_gamma 90.00
loop_
_atom_site_label
_atom_site_fract_x
_atom_site_fract_y
_atom_site_fract_z
Ca1 0.000 0.000 0.000
Ge1 0.500 0.500 0.500
Sb1 0.000 0.500 0.500
I1 0.500 0.500 0.000
```

ΔE_f (raw)	17	meV per atom



[8]
CaGeTeI2 | meta-GGA SCAN | single point on PBEsol structure

```
data_CaGeTeI2
_chemical_formula_sum 'Ca1 Ge1 Te1 I2'
_symmetry_space_group_name_H-M 'P 4/m m m'
_symmetry_Int_Tables_number 123
_symmetry_space_group_name_Hall '-P 4 2'
_cell_length_a 5.702
_cell_length_b 5.702
_cell_length_c 6.045
_cell_angle_alpha 90.00
_cell_angle_beta 90.00
_cell_angle_gamma 90.00
loop_
_atom_site_label
_atom_site_fract_x
_atom_site_fract_y
_atom_site_fract_z
Ca1 0.000 0.000 0.000
Ge1 0.500 0.500 0.500
Te1 0.000 0.000 0.500
I1 0.000 0.500 0.000
```

ΔE_f (raw)	-148	meV per atom



[9]
Ca2TiGeI | meta-GGA SCAN | single point on PBEsol structure

```
data_Ca2TiGeI
_chemical_formula_sum 'Ca2 Ti1 Ge1 I1'
_symmetry_space_group_name_H-M 'P 4/m m m'
_symmetry_Int_Tables_number 123
_symmetry_space_group_name_Hall '-P 4 2'
_cell_length_a 5.623
_cell_length_b 5.623
_cell_length_c 5.666
_cell_angle_alpha 90.00
_cell_angle_beta 90.00
_cell_angle_gamma 90.00
loop_
_atom_site_label
_atom_site_fract_x
_atom_site_fract_y
_atom_site_fract_z
Ca1 0.000 0.500 0.000
Ti1 0.000 0.000 0.500
Ge1 0.500 0.500 0.000
I1 0.500 0.500 0.500
```

ΔE_f (raw)	344	meV per atom



[10]
Ca2InGe2 | meta-GGA SCAN | single point on PBEsol structure

```
data_Ca2InGe2
_chemical_formula_sum 'Ca4 In2 Ge4'
_symmetry_space_group_name_H-M 'I 4/m m m'
_symmetry_Int_Tables_number 139
_symmetry_space_group_name_Hall '-I 4 2'
_cell_length_a 4.941
_cell_length_b 4.941
_cell_length_c 11.327
_cell_angle_alpha 90.00
_cell_angle_beta 90.00
_cell_angle_gamma 90.00
loop_
_atom_site_label
_atom_site_fract_x
_atom_site_fract_y
_atom_site_fract_z
Ca1 0.000 0.500 0.250
In1 0.000 0.000 0.000
Ge1 0.000 0.000 0.398
```

energy of formation from the pure elements	-0.99	eV per formula unit



[11]
Ca2InGe2 | meta-GGA SCAN | single point on PBEsol structure

```
data_Ca2InGe2
_chemical_formula_sum 'Ca4 In2 Ge4'
_symmetry_space_group_name_H-M 'I 4/m m m'
_symmetry_Int_Tables_number 139
_symmetry_space_group_name_Hall '-I 4 2'
_cell_length_a 3.684
_cell_length_b 3.684
_cell_length_c 18.700
_cell_angle_alpha 90.00
_cell_angle_beta 90.00
_cell_angle_gamma 90.00
loop_
_atom_site_label
_atom_site_fract_x
_atom_site_fract_y
_atom_site_fract_z
Ca1 0.000 0.000 0.113
In1 0.000 0.000 0.500
Ge1 0.000 0.500 0.250
```

energy of formation from the pure elements	-1.72	eV per formula unit



[12]
CaIn2Ge2 | meta-GGA SCAN | single point on PBEsol structure

```
data_CaIn2Ge2
_chemical_formula_sum 'Ca2 In4 Ge4'
_symmetry_space_group_name_H-M 'I 4/m m m'
_symmetry_Int_Tables_number 139
_symmetry_space_group_name_Hall '-I 4 2'
_cell_length_a 4.946
_cell_length_b 4.946
_cell_length_c 10.186
_cell_angle_alpha 90.00
_cell_angle_beta 90.00
_cell_angle_gamma 90.00
loop_
_atom_site_label
_atom_site_fract_x
_atom_site_fract_y
_atom_site_fract_z
Ca1 0.000 0.000 0.000
In1 0.000 0.000 0.366
Ge1 0.000 0.500 0.250
```

energy of formation from the pure elements	-0.86	eV per formula unit



[13]
CaGe3Ir | meta-GGA SCAN | single point on PBEsol structure

```
data_CaGe3Ir
_chemical_formula_sum 'Ca1 Ge3 Ir1'
_symmetry_space_group_name_H-M 'P m -3 m'
_symmetry_Int_Tables_number 221
_symmetry_space_group_name_Hall '-P 4 2 3'
_cell_length_a 4.825
_cell_length_b 4.825
_cell_length_c 4.825
_cell_angle_alpha 90.00
_cell_angle_beta 90.00
_cell_angle_gamma 90.00
loop_
_atom_site_label
_atom_site_fract_x
_atom_site_fract_y
_atom_site_fract_z
Ca1 0.000 0.000 0.000
Ge1 0.000 0.500 0.500
Ir1 0.500 0.500 0.500
```

energy of formation from the pure elements	0.03	eV per formula unit



[14]
CaGe3Ir | meta-GGA SCAN | single point on PBEsol structure

```
data_CaGe3Ir
_chemical_formula_sum 'Ca1 Ge3 Ir1'
_symmetry_space_group_name_H-M 'P m -3 m'
_symmetry_Int_Tables_number 221
_symmetry_space_group_name_Hall '-P 4 2 3'
_cell_length_a 4.928
_cell_length_b 4.928
_cell_length_c 4.928
_cell_angle_alpha 90.00
_cell_angle_beta 90.00
_cell_angle_gamma 90.00
loop_
_atom_site_label
_atom_site_fract_x
_atom_site_fract_y
_atom_site_fract_z
Ca1 0.000 0.000 0.000
Ge1 0.000 0.000 0.500
Ir1 0.500 0.500 0.500
```

energy of formation from the pure elements	10.01	eV per formula unit



[15]
K2CaGeSb | meta-GGA SCAN | single point on PBEsol structure

```
data_K2CaGeSb
_chemical_formula_sum 'K2 Ca1 Ge1 Sb1'
_symmetry_space_group_name_H-M 'P 4/m m m'
_symmetry_Int_Tables_number 123
_symmetry_space_group_name_Hall '-P 4 2'
_cell_length_a 6.559
_cell_length_b 6.559
_cell_length_c 5.566
_cell_angle_alpha 90.00
_cell_angle_beta 90.00
_cell_angle_gamma 90.00
loop_
_atom_site_label
_atom_site_fract_x
_atom_site_fract_y
_atom_site_fract_z
K1 0.000 0.500 0.000
Ca1 0.000 0.000 0.000
Ge1 0.500 0.500 0.500
Sb1 0.000 0.000 0.500
```

ΔE_f (raw)	564	meV per atom



[16]
CaLa2Ge2 | meta-GGA SCAN | single point on PBEsol structure

```
data_CaLa2Ge2
_chemical_formula_sum 'Ca2 La4 Ge4'
_symmetry_space_group_name_H-M 'P 4/m b m'
_symmetry_Int_Tables_number 127
_symmetry_space_group_name_Hall '-P 4 2ab'
_cell_length_a 8.238
_cell_length_b 8.238
_cell_length_c 4.020
_cell_angle_alpha 90.00
_cell_angle_beta 90.00
_cell_angle_gamma 90.00
loop_
_atom_site_label
_atom_site_fract_x
_atom_site_fract_y
_atom_site_fract_z
Ca1 0.000 0.000 0.000
La1 0.133 0.367 0.500
Ge1 0.169 0.669 0.000
```

energy of formation from the pure elements	-3.90	eV per formula unit



[17]
CaLaGe3 | meta-GGA SCAN | single point on PBEsol structure

```
data_CaLaGe3
_chemical_formula_sum 'Ca1 La1 Ge3'
_symmetry_space_group_name_H-M 'P m -3 m'
_symmetry_Int_Tables_number 221
_symmetry_space_group_name_Hall '-P 4 2 3'
_cell_length_a 5.120
_cell_length_b 5.120
_cell_length_c 5.120
_cell_angle_alpha 90.00
_cell_angle_beta 90.00
_cell_angle_gamma 90.00
loop_
_atom_site_label
_atom_site_fract_x
_atom_site_fract_y
_atom_site_fract_z
Ca1 0.000 0.000 0.000
La1 0.500 0.500 0.500
Ge1 0.000 0.000 0.500
```

energy of formation from the pure elements	1.22	eV per formula unit



[18]
Li2CaGe2 | meta-GGA SCAN | single point on PBEsol structure

```
data_Li2CaGe2
_chemical_formula_sum 'Li4 Ca2 Ge4'
_symmetry_space_group_name_H-M 'I 4/m m m'
_symmetry_Int_Tables_number 139
_symmetry_space_group_name_Hall '-I 4 2'
_cell_length_a 4.124
_cell_length_b 4.124
_cell_length_c 11.459
_cell_angle_alpha 90.00
_cell_angle_beta 90.00
_cell_angle_gamma 90.00
loop_
_atom_site_label
_atom_site_fract_x
_atom_site_fract_y
_atom_site_fract_z
Li1 0.000 0.500 0.250
Ca1 0.000 0.000 0.000
Ge1 0.000 0.000 0.396
```

energy of formation from the pure elements	-2.40	eV per formula unit



[19]
Li3CaGe | meta-GGA SCAN | single point on PBEsol structure

```
data_Li3CaGe
_chemical_formula_sum 'Li3 Ca1 Ge1'
_symmetry_space_group_name_H-M 'P m -3 m'
_symmetry_Int_Tables_number 221
_symmetry_space_group_name_Hall '-P 4 2 3'
_cell_length_a 4.803
_cell_length_b 4.803
_cell_length_c 4.803
_cell_angle_alpha 90.00
_cell_angle_beta 90.00
_cell_angle_gamma 90.00
loop_
_atom_site_label
_atom_site_fract_x
_atom_site_fract_y
_atom_site_fract_z
Li1 0.000 0.000 0.500
Ca1 0.500 0.500 0.500
Ge1 0.000 0.000 0.000
```

energy of formation from the pure elements	-0.85	eV per formula unit



[20]
LiCaRe2Ge | meta-GGA SCAN | single point on PBEsol structure

```
data_LiCaRe2Ge
_chemical_formula_sum 'Li1 Ca1 Re2 Ge1'
_symmetry_space_group_name_H-M 'P 4/m m m'
_symmetry_Int_Tables_number 123
_symmetry_space_group_name_Hall '-P 4 2'
_cell_length_a 4.619
_cell_length_b 4.619
_cell_length_c 4.676
_cell_angle_alpha 90.00
_cell_angle_beta 90.00
_cell_angle_gamma 90.00
loop_
_atom_site_label
_atom_site_fract_x
_atom_site_fract_y
_atom_site_fract_z
Li1 0.000 0.000 0.000
Ca1 0.500 0.500 0.000
Re1 0.000 0.500 0.500
Ge1 0.000 0.000 0.500
```

energy of formation from the pure elements	4.26	eV per formula unit



[21]
LiCa2GeS | meta-GGA SCAN | single point on PBEsol structure

```
data_LiCa2GeS
_chemical_formula_sum 'Li1 Ca2 Ge1 S1'
_symmetry_space_group_name_H-M 'P 4/m m m'
_symmetry_Int_Tables_number 123
_symmetry_space_group_name_Hall '-P 4 2'
_cell_length_a 5.445
_cell_length_b 5.445
_cell_length_c 4.547
_cell_angle_alpha 90.00
_cell_angle_beta 90.00
_cell_angle_gamma 90.00
loop_
_atom_site_label
_atom_site_fract_x
_atom_site_fract_y
_atom_site_fract_z
Li1 0.000 0.000 0.000
Ca1 0.000 0.500 0.500
Ge1 0.000 0.000 0.500
S1 0.500 0.500 0.000
```

ΔE_f (raw)	-553	meV per atom



[22]
CaMn2Ge2 | meta-GGA SCAN | single point on PBEsol structure

```
data_CaMn2Ge2
_chemical_formula_sum 'Ca2 Mn4 Ge4'
_symmetry_space_group_name_H-M 'I 4/m m m'
_symmetry_Int_Tables_number 139
_symmetry_space_group_name_Hall '-I 4 2'
_cell_length_a 3.929
_cell_length_b 3.929
_cell_length_c 10.780
_cell_angle_alpha 90.00
_cell_angle_beta 90.00
_cell_angle_gamma 90.00
loop_
_atom_site_label
_atom_site_fract_x
_atom_site_fract_y
_atom_site_fract_z
Ca1 0.000 0.000 0.000
Mn1 0.000 0.500 0.250
Ge1 0.000 0.000 0.377
```

energy of formation from the pure elements	-2.44	eV per formula unit



[23]
CaMnGe | meta-GGA SCAN | single point on PBEsol structure

```
data_CaMnGe
_chemical_formula_sum 'Ca2 Mn2 Ge2'
_symmetry_space_group_name_H-M 'P 4/n m m'
_symmetry_Int_Tables_number 129
_cell_length_a 3.930
_cell_length_b 3.930
_cell_length_c 7.542
_cell_angle_alpha 90.00
_cell_angle_beta 90.00
_cell_angle_gamma 90.00
loop_
_symmetry_equiv_pos_as_xyz
'x,y,z'
'-x,-y,-z'
'-y+1/2,x,z'
'y+1/2,-x,-z'
'-x+1/2,-y+1/2,z'
'x+1/2,y+1/2,-z'
'y,-x+1/2,z'
'-y,x+1/2,-z'
'x+1/2,-y,-z'
'-x+1/2,y,z'
'-y,-x,-z'
'y,x,z'
'-x,y+1/2,-z'
'x,-y+1/2,z'
'y+1/2,x+1/2,-z'
'-y+1/2,-x+1/2,z'
loop_
_atom_site_label
_atom_site_fract_x
_atom_site_fract_y
_atom_site_fract_z
Ca1 0.250 0.250 0.170
Mn1 0.250 0.750 0.500
Ge1 0.250 0.250 0.694
```

energy of formation from the pure elements	-1.41	eV per formula unit



[24]
Ca2Mn2Ge | meta-GGA SCAN | single point on PBEsol structure

```
data_Ca2Mn2Ge
_chemical_formula_sum 'Ca4 Mn4 Ge2'
_symmetry_space_group_name_H-M 'I 4/m m m'
_symmetry_Int_Tables_number 139
_symmetry_space_group_name_Hall '-I 4 2'
_cell_length_a 5.647
_cell_length_b 5.647
_cell_length_c 7.061
_cell_angle_alpha 90.00
_cell_angle_beta 90.00
_cell_angle_gamma 90.00
loop_
_atom_site_label
_atom_site_fract_x
_atom_site_fract_y
_atom_site_fract_z
Ca1 0.000 0.500 0.250
Mn1 0.000 0.000 0.161
Ge1 0.000 0.000 0.500
```

energy of formation from the pure elements	1.29	eV per formula unit



[25]
Ca5Ge2N6 | meta-GGA SCAN | single point on PBEsol structure

```
data_Ca5Ge2N6
_chemical_formula_sum 'Ca20 Ge8 N24'
_symmetry_space_group_name_H-M 'C 1 2/c 1'
_symmetry_Int_Tables_number 15
_symmetry_space_group_name_Hall '-C 2yc'
_cell_length_a 10.152
_cell_length_b 5.963
_cell_length_c 12.951
_cell_angle_alpha 90.00
_cell_angle_beta 99.40
_cell_angle_gamma 90.00
loop_
_atom_site_label
_atom_site_fract_x
_atom_site_fract_y
_atom_site_fract_z
Ca1 0.000 0.122 0.250
Ca2 0.076 0.247 0.006
Ca3 0.151 0.408 0.716
Ge1 0.220 0.373 0.420
N1 0.048 0.458 0.370
N2 0.152 0.027 0.656
N3 0.229 0.045 0.436
```

ΔE_f (raw)	-940	meV per atom



[26]
Ca3GeN | meta-GGA SCAN | single point on PBEsol structure

```
data_Ca3GeN
_chemical_formula_sum 'Ca3 Ge1 N1'
_symmetry_space_group_name_H-M 'P m -3 m'
_symmetry_Int_Tables_number 221
_symmetry_space_group_name_Hall '-P 4 2 3'
_cell_length_a 4.761
_cell_length_b 4.761
_cell_length_c 4.761
_cell_angle_alpha 90.00
_cell_angle_beta 90.00
_cell_angle_gamma 90.00
loop_
_atom_site_label
_atom_site_fract_x
_atom_site_fract_y
_atom_site_fract_z
Ca1 0.000 0.000 0.500
Ge1 0.500 0.500 0.500
N1 0.000 0.000 0.000
```

ΔE_f (raw)	-845	meV per atom